1.
{"formula": "NdFeN", "functional": "PBE", "state": "relaxed", "lattice_angstrom": [[3.441, 0.000, 0.000], [-1.721, 2.980, 0.000], [0.000, 0.000, 4.249]], "species": ["Nd", "Fe", "N"], "fractional_positions": [[0.000, 0.000, 0.000], [0.333, 0.667, 0.500], [0.667, 0.333, 0.500]], "de_polymorph_mev_per_atom": 0, "dft_energy_ev_per_atom": -7.37, "total_magnetization_mub_per_cell": 1.50, "e_form_raw_mev_per_atom": -180}

***

2.
{"formula": "Nd3Fe5N12", "functional": "PBE", "state": "relaxed", "lattice_angstrom": [[-6.165, 6.165, 6.165], [6.165, -6.165, 6.165], [6.165, 6.165, -6.165]], "species": ["Nd", "Nd", "Nd", "Nd", "Nd", "Nd", "Nd", "Nd", "Nd", "Nd", "Nd", "Nd", "Fe", "Fe", "Fe", "Fe", "Fe", "Fe", "Fe", "Fe", "Fe", "Fe", "Fe", "Fe", "Fe", "Fe", "Fe", "Fe", "Fe", "Fe", "Fe", "Fe", "N", "N", "N", "N", "N", "N", "N", "N", "N", "N", "N", "N", "N", "N", "N", "N", "N", "N", "N", "N", "N", "N", "N", "N", "N", "N", "N", "N", "N", "N", "N", "N", "N", "N", "N", "N", "N", "N", "N", "N", "N", "N", "N", "N", "N", "N", "N", "N"], "fractional_positions": [[0.125, 0.250, 0.375], [0.125, 0.375, 0.750], [0.250, 0.375, 0.125], [0.250, 0.875, 0.625], [0.375, 0.125, 0.250], [0.375, 0.750, 0.125], [0.625, 0.250, 0.875], [0.625, 0.875, 0.750], [0.750, 0.125, 0.375], [0.750, 0.625, 0.875], [0.875, 0.625, 0.250], [0.875, 0.750, 0.625], [0.000, 0.000, 0.000], [0.000, 0.000, 0.500], [0.000, 0.500, 0.000], [0.000, 0.500, 0.500], [0.125, 0.750, 0.875], [0.125, 0.875, 0.250], [0.250, 0.125, 0.875], [0.250, 0.625, 0.375], [0.375, 0.250, 0.625], [0.375, 0.625, 0.750], [0.500, 0.000, 0.000], [0.500, 0.000, 0.500], [0.500, 0.500, 0.000], [0.500, 0.500, 0.500], [0.625, 0.375, 0.250], [0.625, 0.750, 0.375], [0.750, 0.375, 0.625], [0.750, 0.875, 0.125], [0.875, 0.125, 0.750], [0.875, 0.250, 0.125], [0.005, 0.193, 0.108], [0.005, 0.312, 0.897], [0.085, 0.693, 0.688], [0.085, 0.892, 0.397], [0.103, 0.608, 0.415], [0.103, 0.995, 0.688], [0.108, 0.005, 0.193], [0.108, 0.603, 0.915], [0.188, 0.193, 0.585], [0.188, 0.495, 0.603], [0.193, 0.108, 0.005], [0.193, 0.585, 0.188], [0.307, 0.312, 0.915], [0.307, 0.495, 0.392], [0.312, 0.897, 0.005], [0.312, 0.915, 0.307], [0.392, 0.307, 0.495], [0.392, 0.585, 0.897], [0.397, 0.085, 0.892], [0.397, 0.812, 0.505], [0.415, 0.103, 0.608], [0.415, 0.812, 0.807], [0.495, 0.392, 0.307], [0.495, 0.603, 0.188], [0.505, 0.397, 0.812], [0.505, 0.608, 0.693], [0.585, 0.188, 0.193], [0.585, 0.897, 0.392], [0.603, 0.188, 0.495], [0.603, 0.915, 0.108], [0.608, 0.415, 0.103], [0.608, 0.693, 0.505], [0.688, 0.085, 0.693], [0.688, 0.103, 0.995], [0.693, 0.505, 0.608], [0.693, 0.688, 0.085], [0.807, 0.415, 0.812], [0.807, 0.892, 0.995], [0.812, 0.505, 0.397], [0.812, 0.807, 0.415], [0.892, 0.397, 0.085], [0.892, 0.995, 0.807], [0.897, 0.005, 0.312], [0.897, 0.392, 0.585], [0.915, 0.108, 0.603], [0.915, 0.307, 0.312], [0.995, 0.688, 0.103], [0.995, 0.807, 0.892]], "dft_energy_ev_per_atom": -7.97, "total_magnetization_mub_per_cell": 14.38, "e_form_raw_mev_per_atom": -147}

***

3.
{"formula": "Nd12Fe3N5", "functional": "PBE", "state": "relaxed", "lattice_angstrom": [[-7.804, 7.804, 7.804], [7.804, -7.804, 7.804], [7.804, 7.804, -7.804]], "species": ["Nd", "Nd", "Nd", "Nd", "Nd", "Nd", "Nd", "Nd", "Nd", "Nd", "Nd", "Nd", "Nd", "Nd", "Nd", "Nd", "Nd", "Nd", "Nd", "Nd", "Nd", "Nd", "Nd", "Nd", "Nd", "Nd", "Nd", "Nd", "Nd", "Nd", "Nd", "Nd", "Nd", "Nd", "Nd", "Nd", "Nd", "Nd", "Nd", "Nd", "Nd", "Nd", "Nd", "Nd", "Nd", "Nd", "Nd", "Nd", "Fe", "Fe", "Fe", "Fe", "Fe", "Fe", "Fe", "Fe", "Fe", "Fe", "Fe", "Fe", "N", "N", "N", "N", "N", "N", "N", "N", "N", "N", "N", "N", "N", "N", "N", "N", "N", "N", "N", "N"], "fractional_positions": [[0.027, 0.208, 0.122], [0.027, 0.320, 0.905], [0.085, 0.708, 0.680], [0.085, 0.878, 0.405], [0.095, 0.622, 0.415], [0.095, 0.973, 0.680], [0.122, 0.027, 0.208], [0.122, 0.595, 0.915], [0.180, 0.208, 0.585], [0.180, 0.473, 0.595], [0.208, 0.122, 0.027], [0.208, 0.585, 0.180], [0.292, 0.320, 0.915], [0.292, 0.473, 0.378], [0.320, 0.905, 0.027], [0.320, 0.915, 0.292], [0.378, 0.292, 0.473], [0.378, 0.585, 0.905], [0.405, 0.085, 0.878], [0.405, 0.820, 0.527], [0.415, 0.095, 0.622], [0.415, 0.820, 0.792], [0.473, 0.378, 0.292], [0.473, 0.595, 0.180], [0.527, 0.405, 0.820], [0.527, 0.622, 0.708], [0.585, 0.180, 0.208], [0.585, 0.905, 0.378], [0.595, 0.180, 0.473], [0.595, 0.915, 0.122], [0.622, 0.415, 0.095], [0.622, 0.708, 0.527], [0.680, 0.085, 0.708], [0.680, 0.095, 0.973], [0.708, 0.527, 0.622], [0.708, 0.680, 0.085], [0.792, 0.415, 0.820], [0.792, 0.878, 0.973], [0.820, 0.527, 0.405], [0.820, 0.792, 0.415], [0.878, 0.405, 0.085], [0.878, 0.973, 0.792], [0.905, 0.027, 0.320], [0.905, 0.378, 0.585], [0.915, 0.122, 0.595], [0.915, 0.292, 0.320], [0.973, 0.680, 0.095], [0.973, 0.792, 0.878], [0.125, 0.250, 0.375], [0.125, 0.375, 0.750], [0.250, 0.375, 0.125], [0.250, 0.875, 0.625], [0.375, 0.125, 0.250], [0.375, 0.750, 0.125], [0.625, 0.250, 0.875], [0.625, 0.875, 0.750], [0.750, 0.125, 0.375], [0.750, 0.625, 0.875], [0.875, 0.625, 0.250], [0.875, 0.750, 0.625], [0.000, 0.000, 0.000], [0.000, 0.000, 0.500], [0.000, 0.500, 0.000], [0.000, 0.500, 0.500], [0.125, 0.750, 0.875], [0.125, 0.875, 0.250], [0.250, 0.125, 0.875], [0.250, 0.625, 0.375], [0.375, 0.250, 0.625], [0.375, 0.625, 0.750], [0.500, 0.000, 0.000], [0.500, 0.000, 0.500], [0.500, 0.500, 0.000], [0.500, 0.500, 0.500], [0.625, 0.375, 0.250], [0.625, 0.750, 0.375], [0.750, 0.375, 0.625], [0.750, 0.875, 0.125], [0.875, 0.125, 0.750], [0.875, 0.250, 0.125]], "dft_energy_ev_per_atom": -6.64, "total_magnetization_mub_per_cell": 0.02, "e_form_raw_mev_per_atom": -433}

***

4.
{"formula": "Nd2Fe17N2", "functional": "PBE", "state": "relaxed", "lattice_angstrom": [[4.849, -4.355, 0.000], [4.849, 4.355, 0.000], [-0.944, 0.000, 6.478]], "species": ["Nd", "Nd", "Fe", "Fe", "Fe", "Fe", "Fe", "Fe", "Fe", "Fe", "Fe", "Fe", "Fe", "Fe", "Fe", "Fe", "Fe", "Fe", "Fe", "N", "N"], "fractional_positions": [[0.155, 0.155, 0.343], [0.845, 0.845, 0.657], [0.000, 0.500, 0.000], [0.156, 0.156, 0.859], [0.157, 0.644, 0.338], [0.217, 0.500, 0.717], [0.217, 0.783, 0.000], [0.356, 0.843, 0.662], [0.404, 0.404, 0.094], [0.500, 0.000, 0.000], [0.500, 0.217, 0.717], [0.500, 0.500, 0.500], [0.500, 0.783, 0.283], [0.596, 0.596, 0.906], [0.644, 0.157, 0.338], [0.783, 0.217, 0.000], [0.783, 0.500, 0.283], [0.843, 0.356, 0.662], [0.844, 0.844, 0.141], [0.000, 0.500, 0.500], [0.500, 0.000, 0.500]], "dft_energy_ev_per_atom": -8.22, "total_magnetization_mub_per_cell": 39.21, "e_form_raw_mev_per_atom": -125}

***

5.
{"formula": "NdNp2FeN4", "functional": "PBE", "state": "relaxed", "lattice_angstrom": [[1.720, -5.697, 0.000], [1.720, 5.697, 0.000], [0.000, 0.000, 11.283]], "species": ["Nd", "Nd", "Np", "Np", "Np", "Np", "Fe", "Fe", "N", "N", "N", "N", "N", "N", "N", "N"], "fractional_positions": [[0.102, 0.898, 0.750], [0.898, 0.102, 0.250], [0.369, 0.631, 0.556], [0.369, 0.631, 0.944], [0.631, 0.369, 0.056], [0.631, 0.369, 0.444], [0.161, 0.839, 0.250], [0.839, 0.161, 0.750], [0.000, 0.000, 0.000], [0.000, 0.000, 0.500], [0.267, 0.733, 0.112], [0.267, 0.733, 0.388], [0.442, 0.558, 0.750], [0.558, 0.442, 0.250], [0.733, 0.267, 0.612], [0.733, 0.267, 0.888]], "dft_energy_ev_per_atom": -10.09, "total_magnetization_mub_per_cell": 5.99, "e_form_raw_mev_per_atom": -1042}

***

6.
{"formula": "Nd2NpFeN5", "functional": "PBE", "state": "relaxed", "lattice_angstrom": [[1.739, -6.874, 0.000], [1.739, 6.874, 0.000], [0.000, 0.000, 10.367]], "species": ["Nd", "Nd", "Nd", "Nd", "Np", "Np", "Fe", "Fe", "N", "N", "N", "N", "N", "N", "N", "N", "N", "N"], "fractional_positions": [[0.110, 0.890, 0.500], [0.131, 0.869, 0.149], [0.869, 0.131, 0.649], [0.890, 0.110, 0.000], [0.192, 0.808, 0.839], [0.808, 0.192, 0.339], [0.458, 0.542, 0.258], [0.542, 0.458, 0.758], [0.027, 0.973, 0.824], [0.298, 0.702, 0.472], [0.323, 0.677, 0.205], [0.341, 0.659, 0.825], [0.496, 0.504, 0.597], [0.504, 0.496, 0.097], [0.659, 0.341, 0.325], [0.677, 0.323, 0.705], [0.702, 0.298, 0.972], [0.973, 0.027, 0.324]], "dft_energy_ev_per_atom": -8.97, "total_magnetization_mub_per_cell": 1.58, "e_form_raw_mev_per_atom": -904}

***

7.
{"formula": "Nd2FeP2N6", "functional": "PBE", "state": "relaxed", "lattice_angstrom": [[5.327, 0.000, 0.000], [-2.663, 4.613, 0.000], [0.000, 0.000, 5.823]], "species": ["Nd", "Nd", "Fe", "P", "P", "N", "N", "N", "N", "N", "N"], "fractional_positions": [[0.333, 0.667, 0.359], [0.667, 0.333, 0.641], [0.000, 0.000, 0.000], [0.333, 0.667, 0.878], [0.667, 0.333, 0.122], [0.095, 0.339, 0.787], [0.245, 0.905, 0.787], [0.339, 0.245, 0.213], [0.661, 0.755, 0.787], [0.755, 0.095, 0.213], [0.905, 0.661, 0.213]], "dft_energy_ev_per_atom": -7.53, "total_magnetization_mub_per_cell": 1.92, "e_form_raw_mev_per_atom": -368}

***

8.
{"formula": "NdFe2PN4", "functional": "PBE", "state": "relaxed", "lattice_angstrom": [[-2.652, 2.652, 3.219], [2.652, -2.652, 3.219], [2.652, 2.652, -3.219]], "species": ["Nd", "Fe", "Fe", "P", "N", "N", "N", "N"], "fractional_positions": [[0.000, 0.000, 0.000], [0.250, 0.750, 0.500], [0.750, 0.250, 0.500], [0.500, 0.500, 0.000], [0.167, 0.526, 0.000], [0.474, 0.474, 0.641], [0.526, 0.167, 0.000], [0.833, 0.833, 0.359]], "dft_energy_ev_per_atom": -8.04, "total_magnetization_mub_per_cell": 6.34, "e_form_raw_mev_per_atom": -487}

***

9.
{"formula": "Nd2PaFe2N6", "functional": "PBE", "state": "relaxed", "lattice_angstrom": [[2.841, 1.640, 5.783], [-2.841, 1.640, 5.783], [0.000, -3.280, 5.783]], "species": ["Nd", "Nd", "Pa", "Fe", "Fe", "N", "N", "N", "N", "N", "N"], "fractional_positions": [[0.210, 0.210, 0.210], [0.790, 0.790, 0.790], [0.000, 0.000, 0.000], [0.408, 0.408, 0.408], [0.592, 0.592, 0.592], [0.228, 0.747, 0.747], [0.253, 0.253, 0.772], [0.253, 0.772, 0.253], [0.747, 0.228, 0.747], [0.747, 0.747, 0.228], [0.772, 0.253, 0.253]], "dft_energy_ev_per_atom": -8.51, "total_magnetization_mub_per_cell": 4.67, "e_form_raw_mev_per_atom": -702}

***

10.
{"formula": "NdPa2FeN5", "functional": "PBE", "state": "relaxed", "lattice_angstrom": [[-3.258, 3.258, 5.613], [3.258, -3.258, 5.613], [3.258, 3.258, -5.613]], "species": ["Nd", "Nd", "Pa", "Pa", "Pa", "Pa", "Fe", "Fe", "N", "N", "N", "N", "N", "N", "N", "N", "N", "N"], "fractional_positions": [[0.250, 0.250, 0.000], [0.750, 0.750, 0.000], [0.176, 0.676, 0.853], [0.324, 0.176, 0.500], [0.676, 0.824, 0.500], [0.824, 0.324, 0.147], [0.250, 0.750, 0.500], [0.750, 0.250, 0.500], [0.000, 0.000, 0.000], [0.008, 0.220, 0.500], [0.220, 0.720, 0.212], [0.280, 0.492, 0.500], [0.492, 0.992, 0.212], [0.500, 0.500, 0.000], [0.508, 0.008, 0.788], [0.720, 0.508, 0.500], [0.780, 0.280, 0.788], [0.992, 0.780, 0.500]], "dft_energy_ev_per_atom": -9.41, "total_magnetization_mub_per_cell": 0.00, "e_form_raw_mev_per_atom": -1209}

***

11.
{"formula": "NdPa2FeN4", "functional": "PBE", "state": "relaxed", "lattice_angstrom": [[1.709, -5.838, 0.000], [1.709, 5.838, 0.000], [0.000, 0.000, 11.454]], "species": ["Nd", "Nd", "Pa", "Pa", "Pa", "Pa", "Fe", "Fe", "N", "N", "N", "N", "N", "N", "N", "N"], "fractional_positions": [[0.104, 0.896, 0.750], [0.896, 0.104, 0.250], [0.368, 0.632, 0.560], [0.368, 0.632, 0.940], [0.632, 0.368, 0.060], [0.632, 0.368, 0.440], [0.158, 0.842, 0.250], [0.842, 0.158, 0.750], [0.000, 0.000, 0.000], [0.000, 0.000, 0.500], [0.270, 0.730, 0.117], [0.270, 0.730, 0.383], [0.443, 0.557, 0.750], [0.557, 0.443, 0.250], [0.730, 0.270, 0.617], [0.730, 0.270, 0.883]], "dft_energy_ev_per_atom": -9.50, "total_magnetization_mub_per_cell": 0.97, "e_form_raw_mev_per_atom": -1312}

***

12.
{"formula": "Pm2NdFeN4", "functional": "PBE", "state": "relaxed", "lattice_angstrom": [[1.737, -5.892, 0.000], [1.737, 5.892, 0.000], [0.000, 0.000, 11.944]], "species": ["Pm", "Pm", "Pm", "Pm", "Nd", "Nd", "Fe", "Fe", "N", "N", "N", "N", "N", "N", "N", "N"], "fractional_positions": [[0.132, 0.868, 0.544], [0.132, 0.868, 0.956], [0.868, 0.132, 0.044], [0.868, 0.132, 0.456], [0.378, 0.622, 0.750], [0.622, 0.378, 0.250], [0.341, 0.659, 0.250], [0.659, 0.341, 0.750], [0.098, 0.902, 0.750], [0.230, 0.770, 0.135], [0.230, 0.770, 0.365], [0.500, 0.500, 0.000], [0.500, 0.500, 0.500], [0.770, 0.230, 0.635], [0.770, 0.230, 0.865], [0.902, 0.098, 0.250]], "dft_energy_ev_per_atom": -7.96, "total_magnetization_mub_per_cell": 0.00, "e_form_raw_mev_per_atom": -952}